First-principles (PBE-GGA) data for Tm2Ga9Ni6 after structural relaxation, as listed in Alexandria.

a b c (Å): 5.2585 5.2585 11.7235
angles (deg): 90.00 90.00 120.00
Space group P6/mmm (No. 191)
One atom of each set of equivalent atoms:
Tm 0.0000 0.0000 0.1605 x2
Ga 0.0000 0.5000 0.0000 x3
Ga 0.0000 0.5000 0.3391 x6
Ni 0.3333 0.6667 0.1716 x4
Ni 0.3333 0.6667 0.5000 x2

Summary:
total moment = 0.00 μB/f.u.
density of states at the Fermi level = 10.4 states/eV/cell
ΔH_f (0 K) = -34.1 kJ/mol of atoms



First-principles (PBE-GGA) data for K2HgTeSe4 after structural relaxation, as listed in Alexandria.

a b c (Å): 11.8561 12.7667 8.4687
angles (deg): 90.00 130.30 90.00
Space group C2/c (No. 15)
One atom of each set of equivalent atoms:
K 0.0000 0.0000 0.0000 x4
K 0.2500 0.2500 0.0000 x4
Hg 0.2500 0.2500 0.5000 x4
Te 0.0000 0.5000 0.0000 x4
Se 0.0331 0.2728 0.5047 x8
Se 0.2109 0.4988 0.9456 x8

Summary:
formation energy from raw total energies = -0.491 eV/atom
total moment = 0.00 μB/f.u.
density of states at the Fermi level = 0.2 states/eV/cell



First-principles (PBE-GGA) data for Ce3C2 after structural relaxation, as listed in Alexandria.

a b c (Å): 3.5773 3.5773 7.1210
angles (deg): 90.00 90.00 90.00
Space group P-4m2 (No. 115)
One atom of each set of equivalent atoms:
Ce 0.0000 0.0000 0.0000 x1
Ce 0.0000 0.5000 0.6487 x2
C 0.0000 0.5000 0.2639 x2

Summary:
total moment = 0.00 μB/f.u.
density of states at the Fermi level = 7.6 states/eV/cell
distance to the lowest polymorph of the same formula = 132 meV/atom
ΔH_f (0 K) = 3.8 kJ/mol of atoms



First-principles (PBE-GGA) data for NaLaSc2 after structural relaxation, as listed in Alexandria.

a b c (Å): 3.2576 3.2576 37.2530
angles (deg): 90.00 90.00 120.00
Space group R-3m (No. 166, hexagonal axes)
One atom of each set of equivalent atoms:
Na 0.0000 0.0000 0.0000 x3
La 0.0000 0.0000 0.5000 x3
Sc 0.0000 0.0000 0.4151 x6

Summary:
total moment = 0.00 μB/f.u.
density of states at the Fermi level = 23.5 states/eV/cell
distance to the lowest polymorph of the same formula = 0 meV/atom
ΔH_f (0 K) = 33.5 kJ/mol of atoms



First-principles (PBE-GGA) data for RbReSiO6 after structural relaxation, as listed in Alexandria.

a b c (Å): 4.9895 4.9895 6.3951
angles (deg): 90.00 90.00 120.00
Space group P312 (No. 149)
One atom of each set of equivalent atoms:
Rb 0.0000 0.0000 0.0000 x1
Re 0.3333 0.6667 0.5000 x1
Si 0.6667 0.3333 0.5000 x1
O 0.3999 0.0134 0.6629 x6

Summary:
formation energy from raw total energies = -1.930 eV/atom
total moment = 0.00 μB/f.u.
density of states at the Fermi level = 0.0 states/eV/cell



First-principles (PBE-GGA) data for PmNd2Dy6 after structural relaxation, as listed in Alexandria.

a b c (Å): 10.7459 10.7459 5.0761
angles (deg): 90.00 90.00 90.00
Space group P4_2/mnm (No. 136)
One atom of each set of equivalent atoms:
Pm 0.0000 0.0000 0.0000 x2
Nd 0.1671 0.1671 0.5000 x4
Dy 0.0008 0.3348 0.0000 x8
Dy 0.1674 0.8326 0.5000 x4

Summary:
total moment = 0.00 μB/f.u.
density of states at the Fermi level = 21.9 states/eV/cell
distance to the lowest polymorph of the same formula = 0 meV/atom
ΔH_f (0 K) = 1.8 kJ/mol of atoms



First-principles (PBE-GGA) data for ErLuTlIn after structural relaxation, as listed in Alexandria.

a b c (Å): 7.4717 7.4717 7.4717
angles (deg): 90.00 90.00 90.00
Space group F-43m (No. 216)
One atom of each set of equivalent atoms:
Er 0.0000 0.0000 0.0000 x4
Lu 0.0000 0.0000 0.5000 x4
Tl 0.2500 0.2500 0.2500 x4
In 0.2500 0.2500 0.7500 x4

Summary:
total moment = 0.00 μB/f.u.
density of states at the Fermi level = 8.2 states/eV/cell
ΔH_f (0 K) = -33.6 kJ/mol of atoms



First-principles (PBE-GGA) data for MnMo2Ir after structural relaxation, as listed in Alexandria.

a b c (Å): 6.2033 6.2033 6.2033
angles (deg): 90.00 90.00 90.00
Space group F-43m (No. 216)
One atom of each set of equivalent atoms:
Mn 0.0000 0.0000 0.0000 x4
Mo 0.0000 0.0000 0.5000 x4
Mo 0.2500 0.2500 0.2500 x4
Ir 0.2500 0.2500 0.7500 x4

Summary:
total moment = 3.58 μB/f.u.
density of states at the Fermi level = 10.4 states/eV/cell
distance to the lowest polymorph of the same formula = 69 meV/atom
ΔH_f (0 K) = -0.2 kJ/mol of atoms



First-principles (PBE-GGA) data for ZnCd2N2 after structural relaxation, as listed in Alexandria.

a b c (Å): 3.9352 3.9352 19.6021
angles (deg): 90.00 90.00 120.00
Space group R-3m (No. 166, hexagonal axes)
One atom of each set of equivalent atoms:
Zn 0.0000 0.0000 0.0000 x3
Cd 0.0000 0.0000 0.2242 x6
N 0.0000 0.0000 0.0948 x6

Summary:
formation energy from raw total energies = 0.390 eV/atom
total moment = 0.00 μB/f.u.
density of states at the Fermi level = 1.3 states/eV/cell
distance to the lowest polymorph of the same formula = 249 meV/atom



First-principles (PBE-GGA) data for Y3AlIn after structural relaxation, as listed in Alexandria.

a b c (Å): 5.4760 5.4760 5.4760
angles (deg): 90.00 90.00 90.00
Space group Pm-3m (No. 221)
One atom of each set of equivalent atoms:
Y 0.0000 0.0000 0.5000 x3
Al 0.0000 0.0000 0.0000 x1
In 0.5000 0.5000 0.5000 x1

Summary:
total moment = 0.00 μB/f.u.
density of states at the Fermi level = 8.0 states/eV/cell
distance to the lowest polymorph of the same formula = 460 meV/atom
ΔH_f (0 K) = 10.2 kJ/mol of atoms



First-principles (PBE-GGA) data for AlCrReOs after structural relaxation, as listed in Alexandria.

a b c (Å): 6.0216 6.0216 6.0216
angles (deg): 90.00 90.00 90.00
Space group F-43m (No. 216)
One atom of each set of equivalent atoms:
Al 0.0000 0.0000 0.0000 x4
Cr 0.0000 0.0000 0.5000 x4
Re 0.2500 0.2500 0.2500 x4
Os 0.2500 0.2500 0.7500 x4

Summary:
total moment = 0.69 μB/f.u.
density of states at the Fermi level = 15.6 states/eV/cell
ΔH_f (0 K) = -9.8 kJ/mol of atoms



First-principles (PBE-GGA) data for Li2MnTe after structural relaxation, as listed in Alexandria.

a b c (Å): 4.0105 4.0105 9.0755
angles (deg): 90.00 90.00 90.00
Space group I4/mmm (No. 139)
One atom of each set of equivalent atoms:
Li 0.0000 0.5000 0.2500 x4
Mn 0.0000 0.0000 0.0000 x2
Te 0.0000 0.0000 0.5000 x2

Summary:
formation energy from raw total energies = -0.117 eV/atom
total moment = 3.59 μB/f.u.
density of states at the Fermi level = 7.2 states/eV/cell



First-principles (PBE-GGA) data for Y7HoTm5 after structural relaxation, as listed in Alexandria.

a b c (Å): 6.6212 11.1974 11.4834
angles (deg): 90.00 90.00 90.00
Space group Imm2 (No. 44)
One atom of each set of equivalent atoms:
Y 0.0000 0.0000 0.0000 x2
Y 0.0000 0.0000 0.3125 x2
Y 0.0000 0.3252 0.7557 x4
Y 0.0000 0.3301 0.2577 x4
Y 0.0000 0.5000 0.0047 x2
Ho 0.0000 0.0000 0.6929 x2
Tm 0.0000 0.5000 0.5101 x2
Tm 0.2337 0.2281 0.5057 x8

Summary:
total moment = 0.01 μB/f.u.
density of states at the Fermi level = 57.0 states/eV/cell
ΔH_f (0 K) = 23.9 kJ/mol of atoms



First-principles (PBE-GGA) data for SnIr3I after structural relaxation, as listed in Alexandria.

a b c (Å): 4.9086 4.9086 4.9086
angles (deg): 90.00 90.00 90.00
Space group Pm-3m (No. 221)
One atom of each set of equivalent atoms:
Sn 0.0000 0.0000 0.0000 x1
Ir 0.0000 0.5000 0.5000 x3
I 0.5000 0.5000 0.5000 x1

Summary:
formation energy from raw total energies = 1.736 eV/atom
total moment = 0.81 μB/f.u.
density of states at the Fermi level = 6.6 states/eV/cell
distance to the lowest polymorph of the same formula = 0 meV/atom



For reference, uncorrected energy by record: -4.522, -2.938, -7.210, -4.380, -7.328, -4.637, -3.896, -9.926, -3.561, -5.069, -9.362, -4.152, -5.304, -4.691 eV/atom.
For reference, volume by record: 280.7, 977.6, 91.1, 342.4, 137.9, 586.2, 417.1, 238.7, 262.9, 164.2, 218.3, 146.0, 851.4, 118.3 Å³ per cell.